Record 1
## Sm7CdIr4 (PBE-GGA)

Data for a relaxed Sm7CdIr4 crystal.

Values from the calculation:
- Calculated formation energy: -0.393 eV/atom
- Energy: -6.18 eV/atom
- Calculated volume: 25.82 Å³/atom

a b c (Å): 13.7925 5.5348 9.9692
angles (deg): 90.00 125.49 90.00
Space group C2/m (No. 12)
Unique sites:
Sm 0.0000 0.0000 0.0000
Sm 0.0788 0.5000 0.3673
Sm 0.1731 0.0000 0.6206
Sm 0.2096 0.5000 0.8756
Cd 0.0000 0.5000 0.0000
Ir 0.0676 0.0000 0.7805
Ir 0.2031 0.0000 0.3372


Record 2
## SmCdIr (PBE-GGA)

Data for a relaxed SmCdIr crystal.

Values from the calculation:
- Calculated formation energy: -0.306 eV/atom
- Energy: -5.14 eV/atom
- Calculated volume: 22.32 Å³/atom

a b c (Å): 3.4460 3.4460 11.2777
angles (deg): 90.00 90.00 90.00
Space group I4mm (No. 107)
Unique sites:
Sm 0.0000 0.0000 0.0000
Cd 0.0000 0.0000 0.2855
Ir 0.0000 0.0000 0.6429


Record 3
## Sm7Cd2Ir2 (PBE-GGA)

Data for a relaxed Sm7Cd2Ir2 crystal.

Values from the calculation:
- Calculated formation energy: -0.359 eV/atom
- Energy: -5.14 eV/atom
- Calculated volume: 30.45 Å³/atom

a b c (Å): 8.2659 11.1134 7.2921
angles (deg): 90.00 90.00 90.00
Space group Cmmm (No. 65)
Unique sites:
Sm 0.0000 0.0000 0.0000
Sm 0.0000 0.5000 0.2434
Sm 0.2500 0.2500 0.2499
Cd 0.1734 0.0000 0.5000
Ir 0.0000 0.2876 0.0000


Record 4
## Sm4CdIr (PBE-GGA)

Data for a relaxed Sm4CdIr crystal.

Values from the calculation:
- E above lowest polymorph: 0.0 meV per atom
- Calculated formation energy: -0.473 eV/atom
- Energy: -5.25 eV/atom
- Calculated volume: 28.01 Å³/atom

a b c (Å): 13.9063 13.9063 13.9063
angles (deg): 90.00 90.00 90.00
Space group F-43m (No. 216)
Unique sites:
Sm 0.0000 0.0000 0.1885
Sm 0.0600 0.2500 0.7500
Sm 0.0989 0.0989 0.4011
Cd 0.1697 0.1697 0.1697
Ir 0.1082 0.1082 0.6082


Record 5
## Sm4CdIr (PBE-GGA)

Data for a relaxed Sm4CdIr crystal.

Values from the calculation:
- E above lowest polymorph: 215.6 meV per atom
- Calculated formation energy: -0.258 eV/atom
- Energy: -5.03 eV/atom
- Calculated volume: 32.03 Å³/atom

a b c (Å): 7.5884 7.1685 7.0732
angles (deg): 90.00 92.49 90.00
Space group P2_1/c (No. 14)
Unique sites:
Sm 0.1390 0.1572 0.1745
Sm 0.3159 0.6427 0.1223
Cd 0.5000 0.0000 0.0000
Ir 0.0000 0.0000 0.5000


Record 6
## Sm4CdIr2 (PBE-GGA)

Data for a relaxed Sm4CdIr2 crystal.

Values from the calculation:
- E above lowest polymorph: 46.6 meV per atom
- Calculated formation energy: -0.470 eV/atom
- Energy: -5.83 eV/atom
- Calculated volume: 26.10 Å³/atom

a b c (Å): 9.0687 9.0687 8.8846
angles (deg): 90.00 90.00 90.00
Space group I-42d (No. 122)
Unique sites:
Sm 0.0699 0.1760 0.3273
Cd 0.0000 0.0000 0.0000
Ir 0.1310 0.2500 0.6250


Record 7
## Sm4CdIr2 (PBE-GGA)

Data for a relaxed Sm4CdIr2 crystal.

Values from the calculation:
- E above lowest polymorph: 0.0 meV per atom
- Calculated formation energy: -0.517 eV/atom
- Energy: -5.88 eV/atom
- Calculated volume: 27.73 Å³/atom

a b c (Å): 4.6687 4.6687 30.8486
angles (deg): 90.00 90.00 120.00
Space group R-3m (No. 166, hexagonal axes)
Unique sites:
Sm 0.0000 0.0000 0.1088
Sm 0.0000 0.0000 0.2987
Cd 0.0000 0.0000 0.5000
Ir 0.0000 0.0000 0.4032


Record 8
## SrSmCdIr (PBE-GGA)

Data for a relaxed SrSmCdIr crystal.

Values from the calculation:
- Calculated formation energy: -0.243 eV/atom
- Energy: -4.29 eV/atom
- Calculated volume: 25.20 Å³/atom

a b c (Å): 7.3878 7.3878 7.3878
angles (deg): 90.00 90.00 90.00
Space group F-43m (No. 216)
Unique sites:
Sr 0.0000 0.0000 0.0000
Sm 0.0000 0.0000 0.5000
Cd 0.2500 0.2500 0.7500
Ir 0.2500 0.2500 0.2500